The following is a GGA-PBE calculation of LuPu2In after structural relaxation, from the Alexandria database.

a b c (Å): 5.3485 5.3485 5.3485
angles (deg): 60.00 60.00 60.00
Last column: nearest neighbours and their distance in Å.
Element x y z (fractional)
Lu  0.0000  0.0000  0.0000  8 Pu 3.28
Pu  0.2500  0.2500  0.2500  4 In 3.28, 4 Lu 3.28
Pu  0.7500  0.7500  0.7500  4 In 3.28, 4 Lu 3.28
In  0.5000  0.5000  0.5000  8 Pu 3.28

Values from the calculation:
Raw total energy   -8.905 eV/atom
D(E_F)   3.134 states/eV/atom
Distance to the lowest polymorph of the same formula   193.2 meV/atom
Space group   Fm-3m, No. 225
Energy of formation from the pure elements   0.076 eV/atom